No. 1
First-principles (PBE) data for a relaxed structure of LiTbGdSn, as listed in Alexandria.

The total DFT energy (no corrections) comes out at -6.58 eV per atom. For the formation energy, the calculation gives -0.422 eV per atom.

The structure belongs to space group F-43m (No. 216); the cell edges are 7.4368, 7.4368 and 7.4368 Å and the angles 90.00°, 90.00° and 90.00°. The asymmetric unit holds Li at (0.0000, 0.0000, 0.0000), Tb at (0.2500, 0.2500, 0.7500), Gd at (0.2500, 0.2500, 0.2500) and Sn at (0.0000, 0.0000, 0.5000).

=====

No. 2
First-principles (PBE) data for a relaxed structure of LiGdThSn, as listed in Alexandria.

The total DFT energy (no corrections) comes out at -7.11 eV per atom. For the formation energy, the calculation gives -0.255 eV per atom.

The structure belongs to space group F-43m (No. 216); the cell edges are 7.5398, 7.5398 and 7.5398 Å and the angles 90.00°, 90.00° and 90.00°. The asymmetric unit holds Li at (0.0000, 0.0000, 0.0000), Gd at (0.2500, 0.2500, 0.7500), Th at (0.2500, 0.2500, 0.2500) and Sn at (0.0000, 0.0000, 0.5000).

=====

No. 3
First-principles (PBE) data for a relaxed structure of LiGdTlSn, as listed in Alexandria.

The total DFT energy (no corrections) comes out at -5.99 eV per atom. For the formation energy, the calculation gives -0.403 eV per atom.

The structure belongs to space group F-43m (No. 216); the cell edges are 7.3814, 7.3814 and 7.3814 Å and the angles 90.00°, 90.00° and 90.00°. The asymmetric unit holds Li at (0.0000, 0.0000, 0.0000), Gd at (0.0000, 0.0000, 0.5000), Tl at (0.2500, 0.2500, 0.7500) and Sn at (0.2500, 0.2500, 0.2500).

=====

No. 4
First-principles (PBE) data for a relaxed structure of LiGdZnSn, as listed in Alexandria.

The total DFT energy (no corrections) comes out at -5.75 eV per atom. For the formation energy, the calculation gives -0.435 eV per atom.

The structure belongs to space group F-43m (No. 216); the cell edges are 7.1005, 7.1005 and 7.1005 Å and the angles 90.00°, 90.00° and 90.00°. The asymmetric unit holds Li at (0.0000, 0.0000, 0.0000), Gd at (0.0000, 0.0000, 0.5000), Zn at (0.2500, 0.2500, 0.7500) and Sn at (0.2500, 0.2500, 0.2500).

=====

What is the total DFT energy (no corrections) in the fourth record? -5.75 eV per atom

=====

Which of these has the highest total DFT energy (no corrections)? LiGdZnSn